VASP calculation (GGA-PBE) on a relaxed Mg2AlTc crystal.

Geometry as POSCAR:
```
Mg2AlTc
1.0
9.495 -0.006 -0.004
9.028 2.939 -0.004
9.028 1.430 2.568
Al Mg Tc
1 2 1
Cartesian
20.937 3.315 1.946 Al
0.101 0.016 0.009 Mg
6.639 1.051 0.617 Mg
13.650 2.162 1.269 Tc
```

Size of the total moment, μB per formula unit: 0.3
Density, Mg/m³: 4.01
Uncorrected energy, eV per atom: -4.22
Energy of formation from the pure elements, eV/atom: 0.101
Volume, Å³ per atom: 18.0